(1)
The following is a DFT calculation (GGA-PBEsol) of crystalline La2IrPb at its relaxed geometry.

Results
Density of states at the Fermi level: 3.03 states/eV per cell
Density: 10.7 g cm⁻³
Energy of formation from the pure elements: -0.60 eV per atom

Unit cell a=3.5339 b=3.5339 c=8.4073 alpha=90.00 beta=90.00 gamma=90.00
Space group P4/mmm (No. 123)
Unique sites:
La  0.0000  0.0000  0.2047 (multiplicity 2)
Ir  0.5000  0.5000  0.0000 (multiplicity 1)
Pb  0.5000  0.5000  0.5000 (multiplicity 1)

***

(2)
The following is a DFT calculation (GGA-PBEsol) of crystalline LaIrPb2 at its relaxed geometry.

Results
Density of states at the Fermi level: 6.64 states/eV per cell
Density: 13.3 g cm⁻³
Energy of formation from the pure elements: -0.07 eV per atom

Unit cell a=7.1901 b=7.1901 c=7.1901 alpha=90.00 beta=90.00 gamma=90.00
Space group Fm-3m (No. 225)
Unique sites:
La  0.0000  0.0000  0.0000 (multiplicity 4)
Ir  0.0000  0.0000  0.5000 (multiplicity 4)
Pb  0.2500  0.2500  0.2500 (multiplicity 8)

***

(3)
The following is a DFT calculation (GGA-PBEsol) of crystalline La2IrPb at its relaxed geometry.

Results
Density of states at the Fermi level: 9.06 states/eV per cell
Density: 9.4 g cm⁻³
Energy of formation from the pure elements: -0.54 eV per atom

Unit cell a=4.0629 b=4.0629 c=25.0537 alpha=90.00 beta=90.00 gamma=120.00
Space group R-3m (No. 166, hexagonal axes)
Unique sites:
La  0.0000  0.0000  0.2316 (multiplicity 6)
Ir  0.0000  0.0000  0.5000 (multiplicity 3)
Pb  0.0000  0.0000  0.0000 (multiplicity 3)

***

(4)
The following is a DFT calculation (GGA-PBEsol) of crystalline LaIrPb2 at its relaxed geometry.

Results
Density of states at the Fermi level: 6.25 states/eV per cell
Density: 10.9 g cm⁻³
Energy of formation from the pure elements: -0.06 eV per atom

Unit cell a=3.9941 b=3.9941 c=24.6444 alpha=90.00 beta=90.00 gamma=120.00
Space group R3m (No. 160, hexagonal axes)
Unique sites:
La  0.0000  0.0000  0.0000 (multiplicity 3)
Ir  0.0000  0.0000  0.2706 (multiplicity 3)
Pb  0.0000  0.0000  0.5397 (multiplicity 3)
Pb  0.0000  0.0000  0.7764 (multiplicity 3)

***

Q: The highest density belongs to which entry?
A: number 2

***

Q: Among the records above, which one has the highest density?
A: number 2

***

Q: Which formula does entry 1 have?
A: La2IrPb

***

Repeat the first record exactly.
The following is a DFT calculation (GGA-PBEsol) of crystalline La2IrPb at its relaxed geometry.

Results
Density of states at the Fermi level: 3.03 states/eV per cell
Density: 10.7 g cm⁻³
Energy of formation from the pure elements: -0.60 eV per atom

Unit cell a=3.5339 b=3.5339 c=8.4073 alpha=90.00 beta=90.00 gamma=90.00
Space group P4/mmm (No. 123)
Unique sites:
La  0.0000  0.0000  0.2047 (multiplicity 2)
Ir  0.5000  0.5000  0.0000 (multiplicity 1)
Pb  0.5000  0.5000  0.5000 (multiplicity 1)